Entry 1:
Entry from the Open Quantum Materials Database: crystalline BaAgBi at its relaxed geometry (PBE).

Density (g cm⁻³): 7.9
Symmetry: P-62m, No. 189
V (A^3/atom): 32.0
Electronic total energy (eV per atom): -3.426

abc: 8.3280 8.3280 4.7982
angles: 90.00 90.00 120.00
Positions (direct):
Ag1 0.6667 0.3333 0.0000
Ag2 0.3333 0.6667 0.0000
Ag3 0.0000 0.0000 0.5000
Ba1 0.6068 0.0000 0.5000
Ba2 0.3932 0.3932 0.5000
Ba3 0.0000 0.6068 0.5000
Bi1 0.2709 0.0000 0.0000
Bi2 0.0000 0.2709 0.0000
Bi3 0.7291 0.7291 0.0000

---

Entry 2:
Entry from the Open Quantum Materials Database: crystalline BaAgBi at its relaxed geometry (PBE).

Density (g cm⁻³): 7.8
Symmetry: P-62m, No. 189
V (A^3/atom): 32.1
Electronic total energy (eV per atom): -3.504

abc: 8.1182 8.1182 5.0593
angles: 90.00 90.00 120.00
Positions (direct):
Ag1 0.2374 0.0000 0.0000
Ag2 0.0000 0.2374 0.0000
Ag3 0.7626 0.7626 0.0000
Ba1 0.5751 0.0000 0.5000
Ba2 0.4249 0.4249 0.5000
Ba3 0.0000 0.5751 0.5000
Bi1 0.6667 0.3333 0.0000
Bi2 0.3333 0.6667 0.0000
Bi3 0.0000 0.0000 0.5000